1.
Material: HoBPd3
Method: DFT, PBE
State: optimized geometry

total DFT energy (no corrections)	-30.254	eV per cell
space group	P4mm (99)
theoretical density	10.424	g/cm³

Lattice parameters (Å, degrees): 4.0058 4.0058 4.9141 90.00 90.00 90.00
Element x y z (fractional)
B1 0.0000 0.0000 0.6730
Ho1 0.5000 0.5000 0.9942
Pd1 0.0000 0.5000 0.5017
Pd2 0.5000 0.0000 0.5017
Pd3 0.0000 0.0000 0.0973



2.
Material: HoBPd
Method: DFT, PBE
State: optimized geometry

total DFT energy (no corrections)	-14.670	eV per cell
energy relative to the lowest polymorph listed for this composition	745.3	meV/atom
space group	F-43m (216)
theoretical density	7.780	g/cm³

Lattice parameters (Å, degrees): 4.3997 4.3997 4.3997 60.00 60.00 60.00
Element x y z (fractional)
Ho1 0.0000 0.0000 0.0000
Pd1 0.7500 0.7500 0.7500
B1 0.2500 0.2500 0.2500



3.
Material: HoBPd
Method: DFT, PBE
State: optimized geometry

total DFT energy (no corrections)	-15.775	eV per cell
energy relative to the lowest polymorph listed for this composition	376.9	meV/atom
space group	F-43m (216)
theoretical density	8.325	g/cm³

Lattice parameters (Å, degrees): 4.3016 4.3016 4.3016 60.00 60.00 60.00
Last column: magnetic moment on the atom in μB.
Element x y z (fractional)
B1 0.2500 0.2500 0.2500  0.17
Pd1 0.0000 0.0000 0.0000  0.10
Ho1 0.7500 0.7500 0.7500  0.19



4.
Material: HoBPd
Method: DFT, PBE
State: optimized geometry

total DFT energy (no corrections)	-16.906	eV per cell
energy relative to the lowest polymorph listed for this composition	0.0	meV/atom
space group	F-43m (216)
theoretical density	9.148	g/cm³

Lattice parameters (Å, degrees): 4.1685 4.1685 4.1685 60.00 60.00 60.00
Last column: magnetic moment on the atom in μB.
Element x y z (fractional)
Ho1 0.2500 0.2500 0.2500  0.06
Pd1 0.7500 0.7500 0.7500  0.03
B1 0.0000 0.0000 0.0000  0.05



5.
Material: PmHoB4
Method: DFT, PBE
State: optimized geometry

total DFT energy (no corrections)	-38.763	eV per cell
energy relative to the lowest polymorph listed for this composition	17.7	meV/atom
space group	Immm (71)
theoretical density	7.808	g/cm³

Lattice parameters (Å, degrees): 5.1582 5.1582 5.1582 142.57 112.41 79.90
Element x y z (fractional)
B1 0.9181 0.2516 0.6666
Ho1 0.0000 0.0000 0.0000
Pm1 0.5000 0.5000 0.0000
B2 0.4150 0.7484 0.6666
B3 0.5850 0.2516 0.3334
B4 0.0819 0.7484 0.3334



6.
Material: PmHoB4
Method: DFT, PBE
State: optimized geometry

total DFT energy (no corrections)	-38.869	eV per cell
energy relative to the lowest polymorph listed for this composition	0.0	meV/atom
space group	P6/mmm (191)
theoretical density	7.835	g/cm³

Lattice parameters (Å, degrees): 3.3045 3.3045 7.9154 90.00 90.00 120.00
Element x y z (fractional)
B1 0.3333 0.6667 0.2394
Pm1 0.0000 0.0000 0.5000
Ho1 0.0000 0.0000 0.0000
B2 0.6667 0.3333 0.7606
B3 0.3333 0.6667 0.7606
B4 0.6667 0.3333 0.2394



7.
Material: PrHoB4
Method: DFT, PBE
State: optimized geometry

total DFT energy (no corrections)	-38.323	eV per cell
energy relative to the lowest polymorph listed for this composition	38.3	meV/atom
space group	Immm (71)
theoretical density	7.561	g/cm³

Lattice parameters (Å, degrees): 5.2146 5.2146 5.2146 142.94 113.06 79.06
Element x y z (fractional)
B1 0.5861 0.2525 0.3336
B2 0.0811 0.7475 0.3336
B3 0.4139 0.7475 0.6664
B4 0.9188 0.2525 0.6664
Ho1 0.0000 0.0000 0.0000
Pr1 0.5000 0.5000 0.0000



8.
Material: PrHoB4
Method: DFT, PBE
State: optimized geometry

total DFT energy (no corrections)	-38.553	eV per cell
energy relative to the lowest polymorph listed for this composition	0.0	meV/atom
space group	P6/mmm (191)
theoretical density	7.597	g/cm³

Lattice parameters (Å, degrees): 3.3091 3.3091 8.0464 90.00 90.00 120.00
Element x y z (fractional)
Pr1 0.0000 0.0000 0.0000
B1 0.6667 0.3333 0.2655
B2 0.6667 0.3333 0.7345
Ho1 0.0000 0.0000 0.5000
B3 0.3333 0.6667 0.2655
B4 0.3333 0.6667 0.7345



9.
Material: HoBPt3
Method: DFT, PBE
State: optimized geometry

total DFT energy (no corrections)	-34.105	eV per cell
space group	P4mm (99)
theoretical density	15.810	g/cm³

Lattice parameters (Å, degrees): 3.9858 3.9858 5.0312 90.00 90.00 90.00
Element x y z (fractional)
Ho1 0.5000 0.5000 0.9897
Pt1 0.5000 0.0000 0.5078
Pt2 0.0000 0.0000 0.1038
Pt3 0.0000 0.5000 0.5078
B1 0.0000 0.0000 0.6950



10.
Material: RbHoB4
Method: DFT, PBE
State: optimized geometry

total DFT energy (no corrections)	-31.011	eV per cell
energy relative to the lowest polymorph listed for this composition	145.8	meV/atom
space group	Immm (71)
theoretical density	4.967	g/cm³

Lattice parameters (Å, degrees): 5.8178 5.8178 5.8178 148.83 94.22 94.06
Element x y z (fractional)
Rb1 0.5000 0.0000 0.5000
B1 0.5203 0.2637 0.2566
B2 0.9930 0.7363 0.2566
B3 0.4797 0.7363 0.7434
B4 0.0070 0.2637 0.7434
Ho1 0.0000 0.0000 0.0000



11.
Material: RbHoB4
Method: DFT, PBE
State: optimized geometry

total DFT energy (no corrections)	-31.886	eV per cell
energy relative to the lowest polymorph listed for this composition	0.0	meV/atom
space group	P6/mmm (191)
theoretical density	5.963	g/cm³

Lattice parameters (Å, degrees): 3.2308 3.2308 9.0462 90.00 90.00 120.00
Element x y z (fractional)
B1 0.6667 0.3333 0.7925
B2 0.6667 0.3333 0.2075
Rb1 0.0000 0.0000 0.5000
B3 0.3333 0.6667 0.2075
B4 0.3333 0.6667 0.7925
Ho1 0.0000 0.0000 0.0000



12.
Material: RbHoB
Method: DFT, PBE
State: optimized geometry

total DFT energy (no corrections)	-8.632	eV per cell
energy relative to the lowest polymorph listed for this composition	0.0	meV/atom
space group	F-43m (216)
theoretical density	5.347	g/cm³

Lattice parameters (Å, degrees): 4.8592 4.8592 4.8592 60.00 60.00 60.00
Element x y z (fractional)
Rb1 0.7500 0.7500 0.7500
Ho1 0.2500 0.2500 0.2500
B1 0.0000 0.0000 0.0000



13.
Material: HoReB
Method: DFT, PBE
State: optimized geometry

total DFT energy (no corrections)	-17.577	eV per cell
energy relative to the lowest polymorph listed for this composition	1699.7	meV/atom
space group	F-43m (216)
theoretical density	10.032	g/cm³

Lattice parameters (Å, degrees): 4.3922 4.3922 4.3922 60.00 60.00 60.00
Last column: magnetic moment on the atom in μB.
Element x y z (fractional)
Ho1 0.7500 0.7500 0.7500  0.11
B1 0.0000 0.0000 0.0000  -0.06
Re1 0.5000 0.5000 0.5000  1.16



14.
Material: Ho2ReB6
Method: DFT, PBE
State: optimized geometry

total DFT energy (no corrections)	-269.721	eV per cell
space group	Pbam (55)
theoretical density	10.008	g/cm³

Lattice parameters (Å, degrees): 9.1431 11.5122 3.6630 90.00 90.00 90.00
Element x y z (fractional)
B1 0.5999 0.0279 0.5000
B2 0.5178 0.7119 0.5000
B3 0.3691 0.8147 0.5000
Ho1 0.1768 0.9140 0.0000
Re1 0.8616 0.8208 0.0000
B4 0.7922 0.2651 0.5000
B5 0.6309 0.1853 0.5000
Ho2 0.9429 0.3699 0.0000
B6 0.4822 0.2881 0.5000
Ho3 0.5571 0.8699 0.0000
B7 0.9822 0.2118 0.5000
B8 0.1309 0.3147 0.5000
B9 0.2078 0.7349 0.5000
B10 0.0999 0.4721 0.5000
B11 0.7494 0.4188 0.5000
B12 0.4468 0.5669 0.5000
B13 0.7078 0.7651 0.5000
Ho4 0.4429 0.1301 0.0000
B14 0.0532 0.0669 0.5000
B15 0.4001 0.9721 0.5000
Re2 0.3616 0.6792 0.0000
B16 0.7506 0.9188 0.5000
Ho5 0.8232 0.0860 0.0000
B17 0.9468 0.9331 0.5000
B18 0.5532 0.4331 0.5000
Ho6 0.0571 0.6301 0.0000
Re3 0.6384 0.3208 0.0000
B19 0.9001 0.5279 0.5000
B20 0.2922 0.2349 0.5000
B21 0.8691 0.6853 0.5000
B22 0.2494 0.0812 0.5000
Ho7 0.6768 0.5860 0.0000
B23 0.2506 0.5812 0.5000
Re4 0.1384 0.1792 0.0000
Ho8 0.3232 0.4140 0.0000
B24 0.0178 0.7882 0.5000



15.
Material: HoReB
Method: DFT, PBE
State: optimized geometry

total DFT energy (no corrections)	-22.676	eV per cell
energy relative to the lowest polymorph listed for this composition	0.0	meV/atom
space group	F-43m (216)
theoretical density	12.393	g/cm³

Lattice parameters (Å, degrees): 4.0933 4.0933 4.0933 60.00 60.00 60.00
Last column: magnetic moment on the atom in μB.
Element x y z (fractional)
B1 0.0000 0.0000 0.0000  0.00
Re1 0.7500 0.7500 0.7500  0.23
Ho1 0.2500 0.2500 0.2500  0.02



16.
Material: Ho4SnB2S
Method: DFT, PBE
State: optimized geometry

total DFT energy (no corrections)	-44.842	eV per cell
space group	P-6m2 (187)
theoretical density	7.870	g/cm³

Lattice parameters (Å, degrees): 3.6811 3.6811 14.9618 90.00 90.00 120.00
Element x y z (fractional)
Ho1 0.0000 0.0000 0.6732
S1 0.0000 0.0000 0.0000
Ho2 0.3333 0.6667 0.8768
B1 0.6667 0.3333 0.2261
Sn1 0.3333 0.6667 0.5000
Ho3 0.0000 0.0000 0.3268
Ho4 0.3333 0.6667 0.1232
B2 0.6667 0.3333 0.7739



17.
Material: HoB4Sb
Method: DFT, PBE
State: optimized geometry

total DFT energy (no corrections)	-35.029	eV per cell
energy relative to the lowest polymorph listed for this composition	71.0	meV/atom
space group	P6/mmm (191)
theoretical density	7.618	g/cm³

Lattice parameters (Å, degrees): 3.2273 3.2273 7.9734 90.00 90.00 120.00
Element x y z (fractional)
B1 0.3333 0.6667 0.2627
B2 0.6667 0.3333 0.2627
B3 0.6667 0.3333 0.7373
Sb1 0.0000 0.0000 0.0000
Ho1 0.0000 0.0000 0.5000
B4 0.3333 0.6667 0.7373



18.
Material: HoBSb
Method: DFT, PBE
State: optimized geometry

total DFT energy (no corrections)	-12.707	eV per cell
energy relative to the lowest polymorph listed for this composition	642.9	meV/atom
space group	F-43m (216)
theoretical density	6.290	g/cm³

Lattice parameters (Å, degrees): 4.8070 4.8070 4.8070 60.00 60.00 60.00
Element x y z (fractional)
Sb1 0.2500 0.2500 0.2500
B1 0.5000 0.5000 0.5000
Ho1 0.0000 0.0000 0.0000



19.
Material: HoBSb
Method: DFT, PBE
State: optimized geometry

total DFT energy (no corrections)	-13.338	eV per cell
energy relative to the lowest polymorph listed for this composition	432.4	meV/atom
space group	F-43m (216)
theoretical density	6.581	g/cm³

Lattice parameters (Å, degrees): 4.7350 4.7350 4.7350 60.00 60.00 60.00
Element x y z (fractional)
Sb1 0.2500 0.2500 0.2500
Ho1 0.0000 0.0000 0.0000
B1 0.7500 0.7500 0.7500



20.
Material: HoB4Sb
Method: DFT, PBE
State: optimized geometry

total DFT energy (no corrections)	-35.455	eV per cell
energy relative to the lowest polymorph listed for this composition	0.0	meV/atom
space group	Immm (71)
theoretical density	7.630	g/cm³

Lattice parameters (Å, degrees): 5.2970 5.2970 5.2970 144.95 121.25 70.28
Element x y z (fractional)
Sb1 0.5000 0.5000 0.0000
B1 0.4121 0.7329 0.6791
B2 0.0538 0.7329 0.3209
B3 0.5879 0.2671 0.3209
B4 0.9462 0.2671 0.6791
Ho1 0.0000 0.0000 0.0000



21.
Material: HoBSb
Method: DFT, PBE
State: optimized geometry

total DFT energy (no corrections)	-14.636	eV per cell
energy relative to the lowest polymorph listed for this composition	0.0	meV/atom
space group	F-43m (216)
theoretical density	7.897	g/cm³

Lattice parameters (Å, degrees): 4.4558 4.4558 4.4558 60.00 60.00 60.00
Element x y z (fractional)
B1 0.0000 0.0000 0.0000
Ho1 0.2500 0.2500 0.2500
Sb1 0.7500 0.7500 0.7500



22.
Material: HoScB4
Method: DFT, PBE
State: optimized geometry

total DFT energy (no corrections)	-41.852	eV per cell
space group	P6/mmm (191)
theoretical density	6.410	g/cm³

Lattice parameters (Å, degrees): 3.2078 3.2078 7.3586 90.00 90.00 120.00
Element x y z (fractional)
B1 0.6667 0.3333 0.7638
Ho1 0.0000 0.0000 0.5000
Sc1 0.0000 0.0000 0.0000
B2 0.3333 0.6667 0.7638
B3 0.6667 0.3333 0.2362
B4 0.3333 0.6667 0.2362



23.
Material: HoScB
Method: DFT, PBE
State: optimized geometry

total DFT energy (no corrections)	-17.665	eV per cell
energy relative to the lowest polymorph listed for this composition	0.0	meV/atom
space group	F-43m (216)
theoretical density	6.270	g/cm³

Lattice parameters (Å, degrees): 4.3561 4.3561 4.3561 60.00 60.00 60.00
Element x y z (fractional)
Sc1 0.7500 0.7500 0.7500
B1 0.0000 0.0000 0.0000
Ho1 0.2500 0.2500 0.2500



24.
Material: HoBSe3
Method: DFT, PBE
State: optimized geometry

total DFT energy (no corrections)	-51.829	eV per cell
space group	Cc (9)
theoretical density	5.869	g/cm³

Lattice parameters (Å, degrees): 6.6881 6.6881 6.6333 108.74 108.74 109.09
Element x y z (fractional)
B1 0.1873 0.2671 0.0862
Se1 0.9094 0.3439 0.0221
Se2 0.3439 0.9094 0.5221
Ho1 0.6421 0.8736 0.9064
Se3 0.4079 0.4385 0.9553
Se4 0.0736 0.8985 0.9314
Se5 0.8985 0.0736 0.4314
Ho2 0.8736 0.6421 0.4064
B2 0.2671 0.1873 0.5862
Se6 0.4385 0.4079 0.4553



25.
Material: HoSiB
Method: DFT, PBE
State: optimized geometry

total DFT energy (no corrections)	-16.427	eV per cell
energy relative to the lowest polymorph listed for this composition	0.0	meV/atom
space group	F-43m (216)
theoretical density	7.101	g/cm³

Lattice parameters (Å, degrees): 4.0697 4.0697 4.0697 60.00 60.00 60.00
Element x y z (fractional)
B1 0.0000 0.0000 0.0000
Ho1 0.2500 0.2500 0.2500
Si1 0.7500 0.7500 0.7500



26.
Material: HoSiB4
Method: DFT, PBE
State: optimized geometry

total DFT energy (no corrections)	-36.673	eV per cell
energy relative to the lowest polymorph listed for this composition	94.3	meV/atom
space group	P6/mmm (191)
theoretical density	6.471	g/cm³

Lattice parameters (Å, degrees): 3.0869 3.0869 7.3467 90.00 90.00 120.00
Element x y z (fractional)
B1 0.6667 0.3333 0.2239
Si1 0.0000 0.0000 0.0000
B2 0.6667 0.3333 0.7761
B3 0.3333 0.6667 0.7761
Ho1 0.0000 0.0000 0.5000
B4 0.3333 0.6667 0.2239



27.
Material: Ho5Si3B
Method: DFT, PBE
State: optimized geometry

total DFT energy (no corrections)	-101.464	eV per cell
space group	P6_3/mcm (193)
theoretical density	7.739	g/cm³

Lattice parameters (Å, degrees): 8.5028 8.5028 6.3034 90.00 90.00 120.00
Element x y z (fractional)
Si1 0.6002 0.0000 0.2500
Ho1 0.7607 0.0000 0.7500
B1 0.0000 0.0000 0.0000
Si2 0.0000 0.3998 0.7500
Ho2 0.6666 0.3333 0.0000
Ho3 0.0000 0.7607 0.7500
Si3 0.0000 0.6002 0.2500
Si4 0.3998 0.3998 0.2500
Ho4 0.3334 0.6667 0.5000
Ho5 0.2393 0.2393 0.7500
Ho6 0.3333 0.6666 0.0000
Ho7 0.0000 0.2393 0.2500
Si5 0.3998 0.0000 0.7500
B2 0.0000 0.0000 0.5000
Ho8 0.2393 0.0000 0.2500
Ho9 0.6667 0.3334 0.5000
Si6 0.6002 0.6002 0.7500
Ho10 0.7607 0.7607 0.2500